{
  "formula": "Ba3Ti2MnO8",
  "functional": "GGA+U",
  "state": "relaxed",
  "dft_energy_ry_per_atom": -0.568,
  "space_group": "No. 164",
  "lattice": [[-1.8572, 4.9910, -2.6004], [-3.1656, -2.4071, 4.3939], [3.9015, 4.0811, 5.0465]],
  "species": ["O", "O", "Ti", "O", "Ba", "Ti", "O", "Mn", "Ba", "O", "O", "O", "O", "Ba"],
  "fractional_positions": [[0.6667, 0.3333, 0.0175], [0.1685, 0.8315, 0.3158], [0.6667, 0.3333, 0.7813], [0.3333, 0.6667, 0.9825], [0.6667, 0.3333, 0.3475], [0.3333, 0.6667, 0.2187], [0.3370, 0.1685, 0.6842], [0.0000, 0.0000, 0.5000], [0.0000, 0.0000, 0.0000], [0.8315, 0.6630, 0.6842], [0.8315, 0.1685, 0.6842], [0.6630, 0.8315, 0.3158], [0.1685, 0.3370, 0.3158], [0.3333, 0.6667, 0.6525]]
}